First-principles (PBE-GGA) data for a relaxed La15Cd4In crystal, as listed in Alexandria.

Values from the calculation:
Spin magnetization in Bohr magnetons per cell: 0.000
ρ in g/cm³: 6.7

a b c (Å): 5.076 5.076 25.288
angles (deg): 90.00 90.00 90.00
Positions (direct):
La: 0.000 0.000 0.000
La: 0.000 0.000 0.200
La: 0.000 0.000 0.400
La: 0.000 0.000 0.600
La: 0.000 0.000 0.800
La: 0.000 0.500 0.099
La: 0.000 0.500 0.300
La: 0.000 0.500 0.500
La: 0.000 0.500 0.700
La: 0.000 0.500 0.901
La: 0.500 0.000 0.099
La: 0.500 0.000 0.300
La: 0.500 0.000 0.500
La: 0.500 0.000 0.700
La: 0.500 0.000 0.901
Cd: 0.500 0.500 0.200
Cd: 0.500 0.500 0.400
Cd: 0.500 0.500 0.600
Cd: 0.500 0.500 0.800
In: 0.500 0.500 0.000

First-principles (PBE-GGA) data for a relaxed BaPd3F9 crystal, as listed in Alexandria.

Values from the calculation:
Spin magnetization in Bohr magnetons per cell: 1.942
ρ in g/cm³: 4.7

a b c (Å): 7.769 7.769 8.018
angles (deg): 90.00 90.00 114.88
Positions (direct):
Ba: 0.098 0.902 0.750
Ba: 0.902 0.098 0.250
Pd: 0.202 0.798 0.250
Pd: 0.289 0.498 0.891
Pd: 0.498 0.289 0.109
Pd: 0.502 0.711 0.609
Pd: 0.711 0.502 0.391
Pd: 0.798 0.202 0.750
F: 0.051 0.477 0.779
F: 0.079 0.904 0.078
F: 0.096 0.921 0.422
F: 0.268 0.292 0.213
F: 0.280 0.707 0.480
F: 0.292 0.268 0.787
F: 0.293 0.720 0.020
F: 0.469 0.469 0.500
F: 0.477 0.051 0.221
F: 0.523 0.949 0.721
F: 0.531 0.531 0.000
F: 0.707 0.280 0.520
F: 0.708 0.732 0.287
F: 0.720 0.293 0.980
F: 0.732 0.708 0.713
F: 0.904 0.079 0.922
F: 0.921 0.096 0.578
F: 0.949 0.523 0.279

First-principles (PBE-GGA) data for a relaxed BeAl2Ni crystal, as listed in Alexandria.

Values from the calculation:
Spin magnetization in Bohr magnetons per cell: 0.000
ρ in g/cm³: 4.1

a b c (Å): 2.889 2.889 5.887
angles (deg): 90.00 90.00 90.00
Positions (direct):
Be: 0.000 0.000 0.000
Al: 0.000 0.000 0.426
Al: 0.500 0.500 0.748
Ni: 0.500 0.500 0.173

First-principles (PBE-GGA) data for a relaxed Rb3HfNp2Te6 crystal, as listed in Alexandria.

Values from the calculation:
Spin magnetization in Bohr magnetons per cell: 9.014
ρ in g/cm³: 6.3

a b c (Å): 7.726 7.726 8.966
angles (deg): 98.28 98.28 120.01
Positions (direct):
Rb: 0.000 0.000 0.000
Rb: 0.328 0.672 0.000
Rb: 0.672 0.328 0.000
Hf: 0.500 0.500 0.500
Np: 0.166 0.834 0.500
Np: 0.834 0.166 0.500
Te: 0.119 0.434 0.303
Te: 0.252 0.252 0.699
Te: 0.434 0.119 0.303
Te: 0.566 0.881 0.697
Te: 0.748 0.748 0.301
Te: 0.881 0.566 0.697

First-principles (PBE-GGA) data for a relaxed NaAc6Pb4 crystal, as listed in Alexandria.

Values from the calculation:
Spin magnetization in Bohr magnetons per cell: 2.567
ρ in g/cm³: 8.2

a b c (Å): 10.561 10.561 4.667
angles (deg): 90.00 90.00 120.00
Positions (direct):
Na: 0.000 0.000 0.000
Ac: 0.193 0.386 0.500
Ac: 0.193 0.807 0.500
Ac: 0.538 0.076 0.000
Ac: 0.538 0.462 0.000
Ac: 0.614 0.807 0.500
Ac: 0.924 0.462 0.000
Pb: 0.333 0.667 0.000
Pb: 0.347 0.173 0.500
Pb: 0.827 0.173 0.500
Pb: 0.827 0.653 0.500

First-principles (PBE-GGA) data for a relaxed La4In3Sn crystal, as listed in Alexandria.

Values from the calculation:
Spin magnetization in Bohr magnetons per cell: 0.000
ρ in g/cm³: 6.9

a b c (Å): 5.610 5.610 15.687
angles (deg): 90.00 90.00 90.00
Positions (direct):
La: 0.000 0.500 0.125
La: 0.000 0.500 0.375
La: 0.000 0.500 0.625
La: 0.000 0.500 0.875
La: 0.500 0.000 0.125
La: 0.500 0.000 0.375
La: 0.500 0.000 0.625
La: 0.500 0.000 0.875
In: 0.000 0.000 0.000
In: 0.000 0.000 0.247
In: 0.000 0.000 0.753
In: 0.500 0.500 0.253
In: 0.500 0.500 0.500
In: 0.500 0.500 0.747
Sn: 0.000 0.000 0.500
Sn: 0.500 0.500 0.000

Electronic total energy list, top to bottom, in eV/cell: -83.620 -115.244 -17.848 -68.040 -43.699 -72.898